[1]
The following is a DFT calculation (PBEsol) of crystalline WO2F2 at its relaxed geometry.

```
WO2F2
1.0
3.525 0.000 0.000
0.000 3.525 0.000
0.000 0.000 3.928
W O F
1 2 2
Direct
0.000 0.000 0.000
0.000 0.500 0.500
0.500 0.000 0.500
0.500 0.500 0.000
0.500 0.500 0.500
```

**Raw formation energy**: 838.9 meV per atom
**Symmetry**: No. 123
**Magnetic moment**: 0.417 μB per atom
**Offset from the most stable computed form**: 16.20 eV per formula unit

[2]
The following is a DFT calculation (PBEsol) of crystalline W3OF at its relaxed geometry.

```
W3OF
1.0
4.074 0.000 0.000
0.000 4.074 0.000
0.000 0.000 4.074
W O F
3 1 1
Direct
0.000 0.000 0.500
0.000 0.500 0.000
0.500 0.000 0.000
0.000 0.000 0.000
0.500 0.500 0.500
```

**Raw formation energy**: 569.4 meV per atom
**Symmetry**: No. 221
**Magnetic moment**: 0.000 μB per atom
**Offset from the most stable computed form**: 0.00 eV per formula unit

[3]
The following is a DFT calculation (PBEsol) of crystalline WOF2 at its relaxed geometry.

```
WOF2
1.0
1.360 0.785 8.315
-1.360 0.785 8.315
0.000 -1.571 8.315
W O F
1 1 2
Direct
0.000 0.000 0.000
0.500 0.500 0.500
0.393 0.393 0.393
0.607 0.607 0.607
```

**Raw formation energy**: -290.4 meV per atom
**Symmetry**: No. 166
**Magnetic moment**: 0.453 μB per atom

[4]
The following is a DFT calculation (PBEsol) of crystalline W3O7F at its relaxed geometry.

```
W3O7F
1.0
3.115 -5.412 0.000
3.115 5.412 0.000
0.000 0.000 3.792
W O F
3 7 1
Direct
0.000 0.000 0.000
0.304 0.696 0.000
0.696 0.304 0.000
0.000 0.000 0.500
0.039 0.339 0.000
0.307 0.693 0.500
0.339 0.039 0.000
0.661 0.961 0.000
0.693 0.307 0.500
0.961 0.661 0.000
0.500 0.500 0.000
```

**Raw formation energy**: -2090.9 meV per atom
**Symmetry**: No. 65
**Magnetic moment**: 0.105 μB per atom

- Which formula does entry 3 have?
  WOF2